Dy2AlSi4Ir3: relaxed, PBE.

Lattice parameters (Å, degrees): 4.069 4.069 10.292 90.00 90.00 90.00
Atoms (fractional coordinates):
Dy: 0.500 0.000 0.244
Dy: 0.000 0.500 0.756
Al: 0.500 0.500 0.500
Si: 0.500 0.500 0.000
Si: 0.000 0.000 0.000
Si: 0.500 0.000 0.645
Si: 0.000 0.500 0.355
Ir: 0.000 0.000 0.500
Ir: 0.500 0.000 0.875
Ir: 0.000 0.500 0.125

Results
The total magnetization is 0.000 μB per cell. As for the symmetry: P-4m2, No. 115. As for the crystal system: tetragonal. The volume is 170 Å³/cell. As for the uncorrected formation energy: -922 meV per atom.